1.
{"formula": "LaHfPtO6", "functional": "GGA-PBE", "state": "relaxed", "cell": [[4.997, 0.000, 0.000], [0.000, 4.997, 0.000], [0.000, 0.000, 10.006]], "species": ["La", "La", "Hf", "Hf", "Pt", "Pt", "O", "O", "O", "O", "O", "O", "O", "O", "O", "O", "O", "O"], "fractional_positions": [[0.000, 0.000, 0.000], [0.500, 0.500, 0.500], [0.000, 0.000, 0.662], [0.500, 0.500, 0.162], [0.000, 0.000, 0.325], [0.500, 0.500, 0.825], [0.171, 0.171, 0.486], [0.208, 0.208, 0.185], [0.216, 0.216, 0.806], [0.284, 0.716, 0.306], [0.292, 0.708, 0.685], [0.329, 0.671, 0.986], [0.671, 0.329, 0.986], [0.708, 0.292, 0.685], [0.716, 0.284, 0.306], [0.784, 0.784, 0.806], [0.792, 0.792, 0.185], [0.829, 0.829, 0.486]], "total_magnetization_mub_per_cell": 0.00, "spacegroup": "P4_2nm", "formation_energy_uncorrected_kj_per_mol_fu": -1892.3}


2.
{"formula": "Cs2Li2DyBr6", "functional": "GGA-PBE", "state": "relaxed", "cell": [[6.696, -4.066, 0.000], [6.696, 4.066, 0.000], [-2.981, 0.000, 7.543]], "species": ["Cs", "Cs", "Li", "Li", "Dy", "Br", "Br", "Br", "Br", "Br", "Br"], "fractional_positions": [[0.202, 0.202, 0.173], [0.798, 0.798, 0.827], [0.428, 0.428, 0.723], [0.572, 0.572, 0.277], [0.000, 0.000, 0.500], [0.213, 0.711, 0.230], [0.236, 0.236, 0.648], [0.289, 0.787, 0.770], [0.711, 0.213, 0.230], [0.764, 0.764, 0.352], [0.787, 0.289, 0.770]], "total_magnetization_mub_per_cell": 0.94, "spacegroup": "C2/m", "formation_energy_uncorrected_kj_per_mol_fu": -1657.0}


3.
{"formula": "KBaPO2", "functional": "GGA-PBE", "state": "relaxed", "cell": [[4.981, 0.000, 0.000], [0.000, 4.981, 0.000], [0.000, 0.000, 6.329]], "species": ["K", "Ba", "P", "O", "O"], "fractional_positions": [[0.000, 0.000, 0.000], [0.500, 0.500, 0.500], [0.500, 0.500, 0.000], [0.000, 0.500, 0.500], [0.500, 0.000, 0.500]], "total_magnetization_mub_per_cell": 4.00, "spacegroup": "P4/mmm", "formation_energy_uncorrected_kj_per_mol_fu": -145.5, "e_above_lowest_polymorph_mev_per_atom": 0.0}


4.
{"formula": "KCd2RhF8", "functional": "GGA-PBE", "state": "relaxed", "cell": [[5.087, 0.000, 0.000], [0.000, 7.218, 0.000], [-0.035, 0.000, 5.175]], "species": ["K", "Cd", "Cd", "Rh", "F", "F", "F", "F", "F", "F", "F", "F"], "fractional_positions": [[0.000, 0.000, 0.000], [0.500, 0.253, 0.500], [0.500, 0.747, 0.500], [0.000, 0.500, 0.000], [0.163, 0.303, 0.224], [0.163, 0.697, 0.224], [0.308, 0.500, 0.746], [0.392, 0.000, 0.724], [0.608, 0.000, 0.276], [0.692, 0.500, 0.254], [0.837, 0.303, 0.776], [0.837, 0.697, 0.776]], "total_magnetization_mub_per_cell": 0.18, "spacegroup": "P2/m", "formation_energy_uncorrected_kj_per_mol_fu": -2386.0}


5.
{"formula": "TaTl2AgO4", "functional": "GGA-PBE", "state": "relaxed", "cell": [[5.754, 0.000, 0.000], [-0.007, 5.759, 0.000], [-2.873, -2.873, 5.032]], "species": ["Ta", "Tl", "Tl", "Ag", "O", "O", "O", "O"], "fractional_positions": [[0.000, 0.000, 0.000], [0.250, 0.749, 0.500], [0.500, 0.500, 0.999], [0.750, 0.250, 0.500], [0.053, 0.679, 0.786], [0.321, 0.267, 0.213], [0.732, 0.107, 0.786], [0.894, 0.947, 0.215]], "total_magnetization_mub_per_cell": 0.00, "spacegroup": "P1", "formation_energy_uncorrected_kj_per_mol_fu": -1133.6}


6.
{"formula": "Rb3Li2Sn9", "functional": "GGA-PBE", "state": "relaxed", "cell": [[-2.365, 6.725, 6.806], [2.365, -6.725, 6.806], [2.365, 6.725, -6.806]], "species": ["Rb", "Rb", "Rb", "Li", "Li", "Sn", "Sn", "Sn", "Sn", "Sn", "Sn", "Sn", "Sn", "Sn"], "fractional_positions": [[0.000, 0.000, 0.000], [0.269, 0.269, 0.000], [0.731, 0.731, 0.000], [0.365, 0.500, 0.865], [0.635, 0.500, 0.135], [0.050, 0.375, 0.675], [0.164, 0.858, 0.307], [0.300, 0.625, 0.675], [0.449, 0.142, 0.307], [0.500, 0.000, 0.500], [0.551, 0.858, 0.693], [0.700, 0.375, 0.325], [0.836, 0.142, 0.693], [0.950, 0.625, 0.325]], "formation_enthalpy_0k_kj_per_mol_fu": -283, "total_magnetization_mub_per_cell": 0.00, "spacegroup": "Immm"}


7.
{"formula": "DyCdHg", "functional": "GGA-PBE", "state": "relaxed", "cell": [[-1.742, 1.742, 6.068], [1.742, -1.742, 6.068], [1.742, 1.742, -6.068]], "species": ["Dy", "Cd", "Hg"], "fractional_positions": [[0.000, 0.000, 0.000], [0.677, 0.677, 0.000], [0.335, 0.335, 0.000]], "formation_enthalpy_0k_kj_per_mol_fu": -84, "total_magnetization_mub_per_cell": 0.17, "spacegroup": "I4mm"}


8.
{"formula": "CsAu2I6", "functional": "GGA-PBE", "state": "relaxed", "cell": [[7.619, 0.000, 0.000], [-3.810, 6.598, 0.000], [0.000, 0.000, 8.345]], "species": ["Cs", "Au", "Au", "I", "I", "I", "I", "I", "I"], "fractional_positions": [[0.000, 0.000, 0.000], [0.333, 0.667, 0.500], [0.667, 0.333, 0.500], [0.000, 0.410, 0.712], [0.000, 0.590, 0.288], [0.410, 0.000, 0.712], [0.410, 0.410, 0.288], [0.590, 0.000, 0.288], [0.590, 0.590, 0.712]], "total_magnetization_mub_per_cell": 0.00, "spacegroup": "P-31m", "formation_energy_uncorrected_kj_per_mol_fu": -214.8}


9.
{"formula": "Tm4Al3In", "functional": "GGA-PBE", "state": "relaxed", "cell": [[3.537, 0.000, 0.000], [0.000, 3.537, 0.000], [0.000, 0.000, 14.823]], "species": ["Tm", "Tm", "Tm", "Tm", "Al", "Al", "Al", "In"], "fractional_positions": [[0.000, 0.000, 0.120], [0.000, 0.000, 0.363], [0.000, 0.000, 0.637], [0.000, 0.000, 0.880], [0.500, 0.500, 0.000], [0.500, 0.500, 0.241], [0.500, 0.500, 0.759], [0.500, 0.500, 0.500]], "formation_enthalpy_0k_kj_per_mol_fu": -306, "total_magnetization_mub_per_cell": 0.00, "spacegroup": "P4/mmm", "e_above_lowest_polymorph_mev_per_atom": 0.0}


10.
{"formula": "Hf2TiN2", "functional": "GGA-PBE", "state": "relaxed", "cell": [[5.039, -2.301, 0.000], [5.039, 2.301, 0.000], [-2.479, 0.000, 5.683]], "species": ["Hf", "Hf", "Hf", "Hf", "Ti", "Ti", "N", "N", "N", "N"], "fractional_positions": [[0.016, 0.016, 0.262], [0.328, 0.328, 0.902], [0.672, 0.672, 0.098], [0.984, 0.984, 0.738], [0.353, 0.353, 0.400], [0.647, 0.647, 0.600], [0.169, 0.169, 0.086], [0.494, 0.494, 0.749], [0.506, 0.506, 0.251], [0.831, 0.831, 0.914]], "total_magnetization_mub_per_cell": 0.00, "spacegroup": "C2/m", "formation_energy_uncorrected_kj_per_mol_fu": -717.2}


11.
{"formula": "KReSe2", "functional": "GGA-PBE", "state": "relaxed", "cell": [[-1.693, 3.276, 4.943], [1.693, -3.276, 4.943], [1.693, 3.276, -4.943]], "species": ["K", "Re", "Se", "Se"], "fractional_positions": [[0.000, 0.000, 0.000], [0.500, 0.500, 0.000], [0.320, 0.820, 0.500], [0.680, 0.180, 0.500]], "total_magnetization_mub_per_cell": 0.89, "spacegroup": "Immm", "formation_energy_uncorrected_kj_per_mol_fu": -8.2, "e_above_lowest_polymorph_mev_per_atom": 243.2}


12.
{"formula": "TiTe2Ir", "functional": "GGA-PBE", "state": "relaxed", "cell": [[-3.029, 3.029, 6.134], [3.029, -3.029, 6.134], [3.029, 3.029, -6.134]], "species": ["Ti", "Ti", "Te", "Te", "Te", "Te", "Ir", "Ir"], "fractional_positions": [[0.000, 0.000, 0.000], [0.750, 0.250, 0.500], [0.140, 0.625, 0.015], [0.375, 0.390, 0.515], [0.610, 0.125, 0.985], [0.875, 0.860, 0.485], [0.250, 0.750, 0.500], [0.500, 0.500, 0.000]], "total_magnetization_mub_per_cell": 0.00, "spacegroup": "I-42d", "formation_energy_uncorrected_kj_per_mol_fu": 32.7, "e_above_lowest_polymorph_mev_per_atom": 592.2}


13.
{"formula": "LiTcNiRu", "functional": "GGA-PBE", "state": "relaxed", "cell": [[0.000, 2.954, 2.954], [2.954, 0.000, 2.954], [2.954, 2.954, 0.000]], "species": ["Li", "Tc", "Ni", "Ru"], "fractional_positions": [[0.000, 0.000, 0.000], [0.500, 0.500, 0.500], [0.750, 0.750, 0.750], [0.250, 0.250, 0.250]], "formation_enthalpy_0k_kj_per_mol_fu": 49, "total_magnetization_mub_per_cell": 1.32, "spacegroup": "F-43m"}


14.
{"formula": "Dy4Zn3Ru", "functional": "GGA-PBE", "state": "relaxed", "cell": [[3.508, 0.000, 0.000], [0.000, 3.508, 0.000], [0.000, 0.000, 14.284]], "species": ["Dy", "Dy", "Dy", "Dy", "Zn", "Zn", "Zn", "Ru"], "fractional_positions": [[0.000, 0.000, 0.114], [0.000, 0.000, 0.373], [0.000, 0.000, 0.627], [0.000, 0.000, 0.886], [0.500, 0.500, 0.248], [0.500, 0.500, 0.500], [0.500, 0.500, 0.752], [0.500, 0.500, 0.000]], "formation_enthalpy_0k_kj_per_mol_fu": -286, "total_magnetization_mub_per_cell": 0.00, "spacegroup": "P4/mmm"}


15.
{"formula": "Ac2ThIn", "functional": "GGA-PBE", "state": "relaxed", "cell": [[0.000, 4.158, 4.158], [4.158, 0.000, 4.158], [4.158, 4.158, 0.000]], "species": ["Ac", "Ac", "Th", "In"], "fractional_positions": [[0.250, 0.250, 0.250], [0.750, 0.750, 0.750], [0.000, 0.000, 0.000], [0.500, 0.500, 0.500]], "formation_enthalpy_0k_kj_per_mol_fu": 27, "total_magnetization_mub_per_cell": 0.00, "spacegroup": "Fm-3m", "e_above_lowest_polymorph_mev_per_atom": 178.7}


16.
{"formula": "HfGa2GeCl", "functional": "GGA-PBE", "state": "relaxed", "cell": [[5.026, 0.000, 0.000], [0.000, 5.026, 0.000], [0.000, 0.000, 4.728]], "species": ["Hf", "Ga", "Ga", "Ge", "Cl"], "fractional_positions": [[0.000, 0.000, 0.000], [0.000, 0.500, 0.500], [0.500, 0.000, 0.500], [0.500, 0.500, 0.000], [0.000, 0.000, 0.500]], "total_magnetization_mub_per_cell": 0.00, "spacegroup": "P4/mmm", "formation_energy_uncorrected_kj_per_mol_fu": 258.4, "e_above_lowest_polymorph_mev_per_atom": 117.1}


17.
{"formula": "SiAg2Rh", "functional": "GGA-PBE", "state": "relaxed", "cell": [[-1.870, 1.870, 4.525], [1.870, -1.870, 4.525], [1.870, 1.870, -4.525]], "species": ["Si", "Ag", "Ag", "Rh"], "fractional_positions": [[0.000, 0.000, 0.000], [0.250, 0.750, 0.500], [0.750, 0.250, 0.500], [0.500, 0.500, 0.000]], "total_magnetization_mub_per_cell": 0.00, "spacegroup": "I4/mmm", "formation_energy_uncorrected_kj_per_mol_fu": 37.3}


18.
{"formula": "Sm6Ge3SbS2", "functional": "GGA-PBE", "state": "relaxed", "cell": [[9.216, -2.086, 0.000], [9.216, 2.086, 0.000], [-2.060, 0.000, 8.273]], "species": ["Sm", "Sm", "Sm", "Sm", "Sm", "Sm", "Ge", "Ge", "Ge", "Sb", "S", "S"], "fractional_positions": [[0.004, 0.004, 0.263], [0.328, 0.328, 0.911], [0.332, 0.332, 0.419], [0.668, 0.668, 0.581], [0.672, 0.672, 0.089], [0.996, 0.996, 0.737], [0.165, 0.165, 0.830], [0.500, 0.500, 0.500], [0.835, 0.835, 0.170], [0.500, 0.500, 0.000], [0.169, 0.169, 0.337], [0.831, 0.831, 0.663]], "total_magnetization_mub_per_cell": 0.00, "spacegroup": "C2/m", "formation_energy_uncorrected_kj_per_mol_fu": -1462.3}


19.
{"formula": "Pa2NiCN5", "functional": "GGA-PBE", "state": "relaxed", "cell": [[6.715, 0.000, 0.000], [0.000, 6.715, 0.000], [0.000, 0.000, 4.796]], "species": ["Pa", "Pa", "Pa", "Pa", "Ni", "Ni", "C", "C", "N", "N", "N", "N", "N", "N", "N", "N", "N", "N"], "fractional_positions": [[0.189, 0.311, 0.000], [0.311, 0.811, 0.000], [0.689, 0.189, 0.000], [0.811, 0.689, 0.000], [0.000, 0.000, 0.500], [0.500, 0.500, 0.500], [0.000, 0.500, 0.500], [0.500, 0.000, 0.500], [0.000, 0.000, 0.000], [0.116, 0.616, 0.273], [0.116, 0.616, 0.727], [0.384, 0.116, 0.273], [0.384, 0.116, 0.727], [0.500, 0.500, 0.000], [0.616, 0.884, 0.273], [0.616, 0.884, 0.727], [0.884, 0.384, 0.273], [0.884, 0.384, 0.727]], "total_magnetization_mub_per_cell": 1.15, "spacegroup": "P4/mbm", "formation_energy_uncorrected_kj_per_mol_fu": 10.7}


20.
{"formula": "AcCe2Th", "functional": "GGA-PBE", "state": "relaxed", "cell": [[1.772, 1.023, 12.518], [-1.772, 1.023, 12.518], [0.000, -2.047, 12.518]], "species": ["Ac", "Ce", "Ce", "Th"], "fractional_positions": [[0.000, 0.000, 0.000], [0.092, 0.092, 0.092], [0.908, 0.908, 0.908], [0.500, 0.500, 0.500]], "formation_enthalpy_0k_kj_per_mol_fu": 95, "total_magnetization_mub_per_cell": 1.72, "spacegroup": "R-3m", "e_above_lowest_polymorph_mev_per_atom": 146.1}


21.
{"formula": "CeCdPb6", "functional": "GGA-PBE", "state": "relaxed", "cell": [[4.837, -4.929, 0.000], [4.837, 4.929, 0.000], [0.000, 0.000, 4.997]], "species": ["Ce", "Cd", "Pb", "Pb", "Pb", "Pb", "Pb", "Pb"], "fractional_positions": [[0.000, 0.000, 0.000], [0.500, 0.500, 0.000], [0.000, 0.500, 0.000], [0.254, 0.746, 0.500], [0.261, 0.261, 0.500], [0.500, 0.000, 0.000], [0.739, 0.739, 0.500], [0.746, 0.254, 0.500]], "formation_enthalpy_0k_kj_per_mol_fu": -82, "total_magnetization_mub_per_cell": 1.22, "spacegroup": "Cmmm"}


22.
{"formula": "PmDy2Pd3", "functional": "GGA-PBE", "state": "relaxed", "cell": [[5.049, 0.000, 0.000], [0.000, 15.224, 0.000], [0.000, 0.000, 3.454]], "species": ["Pm", "Pm", "Dy", "Dy", "Dy", "Dy", "Pd", "Pd", "Pd", "Pd", "Pd", "Pd"], "fractional_positions": [[0.250, 0.250, 0.001], [0.750, 0.750, 0.999], [0.250, 0.583, 0.000], [0.250, 0.917, 0.000], [0.750, 0.083, 0.000], [0.750, 0.417, 0.000], [0.250, 0.076, 0.501], [0.250, 0.424, 0.501], [0.250, 0.750, 0.499], [0.750, 0.250, 0.501], [0.750, 0.576, 0.499], [0.750, 0.924, 0.499]], "formation_enthalpy_0k_kj_per_mol_fu": -491, "total_magnetization_mub_per_cell": 0.00, "spacegroup": "Pmmn", "e_above_lowest_polymorph_mev_per_atom": 0.0}


23.
{"formula": "PrHo2TmSc", "functional": "GGA-PBE", "state": "relaxed", "cell": [[4.083, -5.611, 0.000], [4.083, 5.611, 0.000], [0.000, 0.000, 7.092]], "species": ["Pr", "Pr", "Ho", "Ho", "Ho", "Ho", "Tm", "Tm", "Sc", "Sc"], "fractional_positions": [[0.230, 0.770, 0.750], [0.770, 0.230, 0.250], [0.197, 0.197, 0.000], [0.197, 0.197, 0.500], [0.803, 0.803, 0.000], [0.803, 0.803, 0.500], [0.232, 0.768, 0.250], [0.768, 0.232, 0.750], [0.496, 0.504, 0.750], [0.504, 0.496, 0.250]], "formation_enthalpy_0k_kj_per_mol_fu": 161, "total_magnetization_mub_per_cell": 0.00, "spacegroup": "Cmcm"}